(1)
Below is ErCdIr after structural relaxation, with properties calculated at the PBE-GGA level.

Output
D(E_F)   1.75 states/eV per cell
Formation energy   -0.58 eV/atom
Density   11.82 g/cm³
DFT total energy   -5.357 eV/atom

The structure in POSCAR format:
```
ErCdIr
1.0
-3.473 1.114 0.861
-1.325 -1.337 -3.614
-3.370 -7.232 3.909
Ir Er Cd
2 2 2
Cartesian
-2.768 0.128 -0.940
-3.746 -2.039 -2.077
-4.963 -1.491 0.463
-4.921 -7.651 0.429
-4.267 -4.518 -0.969
-5.617 -4.624 1.861
```

(2)
Below is ErCdIr after structural relaxation, with properties calculated at the PBE-GGA level.

Output
D(E_F)   1.97 states/eV per cell
Formation energy   -0.42 eV/atom
Density   12.78 g/cm³
DFT total energy   -5.196 eV/atom

The structure in POSCAR format:
```
ErCdIr
1.0
-2.685 -1.051 -2.122
1.155 -3.382 0.214
-1.998 1.516 4.797
Er Ir Cd
1 1 1
Cartesian
-3.344 -2.870 2.632
-1.370 -2.370 -0.114
-1.514 -0.384 2.106
```

(3)
Below is Er6Cd2Ir after structural relaxation, with properties calculated at the PBE-GGA level.

Output
D(E_F)   17.53 states/eV per cell
Formation energy   -0.28 eV/atom
Density   9.16 g/cm³
DFT total energy   -4.512 eV/atom

The structure in POSCAR format:
```
Er6Cd2Ir
1.0
6.809 0.000 0.356
0.000 7.324 0.000
-0.326 0.000 10.316
Er Cd Ir
12 4 2
Cartesian
1.163 2.214 0.461
1.157 2.306 4.789
4.006 3.618 2.823
2.078 5.876 4.875
2.477 3.706 7.849
4.398 1.356 10.125
5.326 5.018 5.883
2.085 5.968 0.547
5.320 5.110 10.211
6.044 7.279 2.869
0.438 0.044 7.803
4.404 1.448 5.797
6.240 3.011 8.067
3.485 6.673 7.942
2.998 0.651 2.731
0.243 4.313 2.606
-0.163 0.000 5.158
3.404 3.662 0.178
```

Question: What is the density in the third record?
Answer: 9.16 g/cm³